[1]
Tb2NiSe after structural relaxation, computed with PBE.

Cell: 4.153 3.914 11.306 Å, 99.97 90.00 90.00°
Fractional coordinates of all 8 atoms:
Se1 0.750 0.807 0.614
Se2 0.250 0.193 0.386
Ni1 0.750 0.534 0.068
Tb1 0.750 0.938 0.876
Ni2 0.250 0.466 0.932
Tb2 0.250 0.062 0.124
Tb3 0.250 0.324 0.648
Tb4 0.750 0.676 0.352

Calculated values
symmetry	Cmcm
E above lowest polymorph	0.00	eV per formula unit
crystal system	orthorhombic
uncorrected formation energy	-1.08	eV per atom

[2]
Pr3ThIn2 after structural relaxation, computed with PBE.

Cell: 3.697 3.697 13.614 Å, 90.00 90.00 90.00°
Fractional coordinates of all 6 atoms:
In1 0.500 0.500 0.161
Pr1 0.000 0.000 0.319
In2 0.500 0.500 0.839
Pr2 0.000 0.000 0.000
Th1 0.500 0.500 0.500
Pr3 0.000 0.000 0.681

Calculated values
calculated formation energy	-0.304	eV per atom
symmetry	P4/mmm
crystal system	tetragonal

| no. | total magnetic moment (μB per cell) | density (Mg/m³) | Fermi-level density of states (states/eV/f.u.) |
| --- | --- | --- | --- |
| 1 | 0.00 | 8.36 | 2.3 |
| 2 | 0.00 | 7.89 | 5.7 |